(1)
# MnTl2V2S6 | the Alexandria database | PBE | relaxed
data_MnTl2V2S6
_chemical_formula_sum 'Mn2 Tl4 V4 S12'
_cell_length_a 6.187
_cell_length_b 10.374
_cell_length_c 7.741
_cell_angle_alpha 90.00
_cell_angle_beta 104.22
_cell_angle_gamma 90.00
_symmetry_space_group_name_H-M 'C 1 2/m 1'
_symmetry_Int_Tables_number 12
_symmetry_space_group_name_Hall '-C 2y'
loop_
_atom_site_label
_atom_site_fract_x
_atom_site_fract_y
_atom_site_fract_z
_atom_site_occupancy
Mn1 0.000 0.000 0.000 1
Tl1 0.000 0.177 0.500 1
V1 0.000 0.345 0.000 1
S1 0.217 0.167 0.171 1
S2 0.230 0.500 0.184 1
# **Crystal system**: monoclinic
# **Formation energy without anion corrections**: -664.2 meV per atom
# **D(E_F)**: 9.66 states/eV per cell


(2)
# Tm3Ga4Rh2 | the Alexandria database | PBE | relaxed
data_Tm3Ga4Rh2
_chemical_formula_sum 'Tm6 Ga8 Rh4'
_cell_length_a 10.451
_cell_length_b 4.412
_cell_length_c 8.334
_cell_angle_alpha 90.00
_cell_angle_beta 115.80
_cell_angle_gamma 90.00
_symmetry_space_group_name_H-M 'C 1 2/m 1'
_symmetry_Int_Tables_number 12
_symmetry_space_group_name_Hall '-C 2y'
loop_
_atom_site_label
_atom_site_fract_x
_atom_site_fract_y
_atom_site_fract_z
_atom_site_occupancy
Tm1 0.000 0.000 0.000 1
Tm2 0.181 0.500 0.644 1
Ga1 0.033 0.000 0.369 1
Ga2 0.206 0.500 0.043 1
Rh1 0.090 0.500 0.259 1
# **Offset from the most stable computed form**: 0 meV/atom
# **Crystal system**: monoclinic
# **D(E_F)**: 9.29 states/eV per cell


Look up the D(E_F) of the second one.
9.29 states/eV per cell


What is the D(E_F) in the first record?
9.66 states/eV per cell


Number 2 is which compound?
Tm3Ga4Rh2